9
Lattice="-2.036 -3.342 1.169 3.214 -2.310 -1.007 3.918 1.103 9.974" Properties=species:S:1:pos:R:3 comment="CeInAs2Rh5 | Alexandria via LeMat-Bulk | PBE | optimized geometry" mass_density_g_cm3=8.50 total_energy_ev_per_atom=-6.517 spacegroup="P4/mmm (123)" volume_a3_per_atom=19.96 magnetic_moment_mub_per_fu=0.819 pbc="T T T"
Ce 1.959 0.551 4.987
In 0.000 0.000 0.000
As 1.681 -2.519 2.861
As 3.415 -2.031 7.275
Rh 2.259 -0.971 1.155
Rh -0.366 -1.488 2.243
Rh 4.873 -0.235 7.812
Rh 2.248 -0.752 8.900
Rh 2.548 -2.275 5.068